An optimized crystal structure of CaNbAl2. Source: Alexandria via LeMat-Bulk, functional PBE-GGA.

The structure belongs to space group I-42d (No. 122); the cell edges are 4.614, 4.614 and 19.138 Å and the angles 90.00°, 90.00° and 90.00°. The distinct sites, in fractional coordinates, are Ca at (0.000, 0.000, 0.000), Nb at (0.000, 0.000, 0.500) and Al at (0.134, 0.250, 0.625).

The calculation puts the calculated formation energy at 208 kJ/mol of formula units. Its total energy is -4.350 eV/atom.